# PBE UInGaCu, relaxed
# Raw total energy   -5.22 eV per atom
# Energy relative to the elements   0.069 eV/atom
# Magnetization   2.81 μB per formula unit
data_UInGaCu
_cell_length_a 4.830
_cell_length_b 4.830
_cell_length_c 4.830
_cell_angle_alpha 60.00
_cell_angle_beta 60.00
_cell_angle_gamma 60.00
_symmetry_space_group_name_H-M 'P 1'
_symmetry_Int_Tables_number 1
loop_
_symmetry_equiv_pos_as_xyz
'x,y,z'
loop_
_atom_site_label
_atom_site_fract_x
_atom_site_fract_y
_atom_site_fract_z
U1 0.500 0.500 0.500
Cu1 0.250 0.250 0.250
Ga1 0.750 0.750 0.750
In1 0.000 0.000 0.000